Record 1
## TmCd2Pd4 (PBE)

Data for an optimized crystal structure of TmCd2Pd4.

Structure (CIF):
```
data_TmCd2Pd4
_chemical_formula_sum 'Tm2 Cd4 Pd8'
_symmetry_space_group_name_H-M 'P 1'
_symmetry_Int_Tables_number 1
_cell_length_a 5.837
_cell_length_b 6.715
_cell_length_c 7.191
_cell_angle_alpha 111.54
_cell_angle_beta 92.17
_cell_angle_gamma 103.89
loop_
_symmetry_equiv_pos_as_xyz
'x,y,z'
loop_
_atom_site_label
_atom_site_fract_x
_atom_site_fract_y
_atom_site_fract_z
Tm1 0.000 0.000 0.000
Tm2 0.189 0.524 0.842
Cd1 0.249 0.812 0.304
Cd2 0.367 0.105 0.725
Cd3 0.639 0.291 0.437
Cd4 0.746 0.811 0.299
Pd1 0.127 0.252 0.423
Pd2 0.393 0.397 0.144
Pd3 0.483 0.686 0.594
Pd4 0.510 0.973 0.028
Pd5 0.696 0.548 0.872
Pd6 0.843 0.115 0.702
Pd7 0.895 0.400 0.138
Pd8 0.989 0.699 0.590
```

- Size of the total moment: 0.00 μB per formula unit
- Final energy: -4.44 eV/atom
- ΔE_f: -568 meV per atom
- Energy above the lowest structure with this stoichiometry: 0.00 eV/f.u.
- DOS at the Fermi energy: 5.1 states/eV/cell


Record 2
## TiMnRh3 (PBE)

Data for an optimized crystal structure of TiMnRh3.

Structure (CIF):
```
data_TiMnRh3
_chemical_formula_sum 'Ti2 Mn2 Rh6'
_symmetry_space_group_name_H-M 'P 1'
_symmetry_Int_Tables_number 1
_cell_length_a 6.354
_cell_length_b 6.354
_cell_length_c 4.419
_cell_angle_alpha 90.00
_cell_angle_beta 90.00
_cell_angle_gamma 119.96
loop_
_symmetry_equiv_pos_as_xyz
'x,y,z'
loop_
_atom_site_label
_atom_site_fract_x
_atom_site_fract_y
_atom_site_fract_z
Ti1 0.166 0.834 0.750
Ti2 0.834 0.166 0.250
Mn1 0.500 0.500 0.000
Mn2 0.500 0.500 0.500
Rh1 0.109 0.304 0.750
Rh2 0.304 0.109 0.250
Rh3 0.304 0.696 0.250
Rh4 0.696 0.304 0.750
Rh5 0.696 0.891 0.750
Rh6 0.891 0.696 0.250
```

- Size of the total moment: 2.82 μB per formula unit
- Final energy: -7.74 eV/atom
- ΔE_f: 80 meV per atom
- Energy above the lowest structure with this stoichiometry: 0.00 eV/f.u.
- DOS at the Fermi energy: 11.2 states/eV/cell


Record 3
## SrCa2VCl8 (PBE)

Data for an optimized crystal structure of SrCa2VCl8.

Structure (CIF):
```
data_SrCa2VCl8
_chemical_formula_sum 'Sr1 Ca2 V1 Cl8'
_symmetry_space_group_name_H-M 'P 1'
_symmetry_Int_Tables_number 1
_cell_length_a 6.256
_cell_length_b 8.297
_cell_length_c 6.441
_cell_angle_alpha 90.00
_cell_angle_beta 90.24
_cell_angle_gamma 90.00
loop_
_symmetry_equiv_pos_as_xyz
'x,y,z'
loop_
_atom_site_label
_atom_site_fract_x
_atom_site_fract_y
_atom_site_fract_z
Sr1 0.000 0.000 0.000
Ca1 0.500 0.263 0.500
Ca2 0.500 0.737 0.500
V1 0.000 0.500 0.000
Cl1 0.218 0.281 0.168
Cl2 0.218 0.719 0.168
Cl3 0.259 0.500 0.692
Cl4 0.283 0.000 0.653
Cl5 0.717 0.000 0.347
Cl6 0.741 0.500 0.308
Cl7 0.782 0.281 0.832
Cl8 0.782 0.719 0.832
```

- Size of the total moment: 3.00 μB per formula unit
- Final energy: -4.53 eV/atom
- Formation energy from raw total energies: -2.06 eV/atom


Record 4
## PaIn2Bi (PBE)

Data for an optimized crystal structure of PaIn2Bi.

Structure (CIF):
```
data_PaIn2Bi
_chemical_formula_sum 'Pa1 In2 Bi1'
_symmetry_space_group_name_H-M 'P 1'
_symmetry_Int_Tables_number 1
_cell_length_a 4.606
_cell_length_b 4.606
_cell_length_c 4.936
_cell_angle_alpha 90.00
_cell_angle_beta 90.00
_cell_angle_gamma 90.00
loop_
_symmetry_equiv_pos_as_xyz
'x,y,z'
loop_
_atom_site_label
_atom_site_fract_x
_atom_site_fract_y
_atom_site_fract_z
Pa1 0.000 0.000 0.000
In1 0.000 0.500 0.500
In2 0.500 0.000 0.500
Bi1 0.500 0.500 0.000
```

- Size of the total moment: 0.00 μB per formula unit
- Final energy: -4.86 eV/atom
- ΔE_f: -146 meV per atom
- Energy above the lowest structure with this stoichiometry: 0.00 eV/f.u.
- DOS at the Fermi energy: 4.8 states/eV/cell


Record 5
## MnBiSe3 (PBE)

Data for an optimized crystal structure of MnBiSe3.

Structure (CIF):
```
data_MnBiSe3
_chemical_formula_sum 'Mn1 Bi1 Se3'
_symmetry_space_group_name_H-M 'P 1'
_symmetry_Int_Tables_number 1
_cell_length_a 4.771
_cell_length_b 4.771
_cell_length_c 4.771
_cell_angle_alpha 90.00
_cell_angle_beta 90.00
_cell_angle_gamma 90.00
loop_
_symmetry_equiv_pos_as_xyz
'x,y,z'
loop_
_atom_site_label
_atom_site_fract_x
_atom_site_fract_y
_atom_site_fract_z
Mn1 0.000 0.000 0.000
Bi1 0.500 0.500 0.500
Se1 0.000 0.000 0.500
Se2 0.000 0.500 0.000
Se3 0.500 0.000 0.000
```

- Size of the total moment: 0.00 μB per formula unit
- Final energy: -4.50 eV/atom
- Formation energy from raw total energies: 0.20 eV/atom
- Energy above the lowest structure with this stoichiometry: 2.83 eV/f.u.
- DOS at the Fermi energy: 7.7 states/eV/cell


Record 6
## Ba2Zn3Pd4 (PBE)

Data for an optimized crystal structure of Ba2Zn3Pd4.

Structure (CIF):
```
data_Ba2Zn3Pd4
_chemical_formula_sum 'Ba4 Zn6 Pd8'
_symmetry_space_group_name_H-M 'P 1'
_symmetry_Int_Tables_number 1
_cell_length_a 8.756
_cell_length_b 8.756
_cell_length_c 7.796
_cell_angle_alpha 90.00
_cell_angle_beta 90.00
_cell_angle_gamma 140.86
loop_
_symmetry_equiv_pos_as_xyz
'x,y,z'
loop_
_atom_site_label
_atom_site_fract_x
_atom_site_fract_y
_atom_site_fract_z
Ba1 0.109 0.891 0.913
Ba2 0.391 0.609 0.413
Ba3 0.609 0.391 0.587
Ba4 0.891 0.109 0.087
Zn1 0.000 0.000 0.500
Zn2 0.023 0.477 0.750
Zn3 0.477 0.023 0.250
Zn4 0.500 0.500 0.000
Zn5 0.523 0.977 0.750
Zn6 0.977 0.523 0.250
Pd1 0.183 0.317 0.750
Pd2 0.183 0.817 0.511
Pd3 0.317 0.183 0.250
Pd4 0.317 0.683 0.011
Pd5 0.683 0.317 0.989
Pd6 0.683 0.817 0.750
Pd7 0.817 0.183 0.489
Pd8 0.817 0.683 0.250
```

- Size of the total moment: 0.00 μB per formula unit
- Final energy: -3.64 eV/atom
- ΔE_f: -484 meV per atom
- DOS at the Fermi energy: 8.0 states/eV/cell


Record 7
## KScTa2 (PBE)

Data for an optimized crystal structure of KScTa2.

Structure (CIF):
```
data_KScTa2
_chemical_formula_sum 'K1 Sc1 Ta2'
_symmetry_space_group_name_H-M 'P 1'
_symmetry_Int_Tables_number 1
_cell_length_a 5.416
_cell_length_b 5.416
_cell_length_c 7.331
_cell_angle_alpha 92.21
_cell_angle_beta 92.21
_cell_angle_gamma 31.75
loop_
_symmetry_equiv_pos_as_xyz
'x,y,z'
loop_
_atom_site_label
_atom_site_fract_x
_atom_site_fract_y
_atom_site_fract_z
K1 0.000 0.000 0.000
Sc1 0.500 0.500 0.500
Ta1 0.240 0.240 0.649
Ta2 0.760 0.760 0.351
```

- Size of the total moment: 0.00 μB per formula unit
- Final energy: -6.93 eV/atom
- ΔE_f: 851 meV per atom
- Energy above the lowest structure with this stoichiometry: 1.17 eV/f.u.
- DOS at the Fermi energy: 5.1 states/eV/cell


Record 8
## ZrCSe (PBE)

Data for an optimized crystal structure of ZrCSe.

Structure (CIF):
```
data_ZrCSe
_chemical_formula_sum 'Zr2 C2 Se2'
_symmetry_space_group_name_H-M 'P 1'
_symmetry_Int_Tables_number 1
_cell_length_a 3.754
_cell_length_b 3.754
_cell_length_c 9.859
_cell_angle_alpha 94.01
_cell_angle_beta 94.01
_cell_angle_gamma 57.27
loop_
_symmetry_equiv_pos_as_xyz
'x,y,z'
loop_
_atom_site_label
_atom_site_fract_x
_atom_site_fract_y
_atom_site_fract_z
Zr1 0.139 0.139 0.150
Zr2 0.861 0.861 0.850
C1 0.423 0.423 0.040
C2 0.577 0.577 0.960
Se1 0.183 0.183 0.678
Se2 0.817 0.817 0.322
```

- Size of the total moment: 0.00 μB per formula unit
- Final energy: -7.75 eV/atom
- Formation energy from raw total energies: -0.67 eV/atom
- DOS at the Fermi energy: 1.8 states/eV/cell


Record 9
## Ac2Ce2CoGe2 (PBE)

Data for an optimized crystal structure of Ac2Ce2CoGe2.

Structure (CIF):
```
data_Ac2Ce2CoGe2
_chemical_formula_sum 'Ac2 Ce2 Co1 Ge2'
_symmetry_space_group_name_H-M 'P 1'
_symmetry_Int_Tables_number 1
_cell_length_a 9.207
_cell_length_b 9.207
_cell_length_c 9.207
_cell_angle_alpha 149.40
_cell_angle_beta 149.40
_cell_angle_gamma 43.82
loop_
_symmetry_equiv_pos_as_xyz
'x,y,z'
loop_
_atom_site_label
_atom_site_fract_x
_atom_site_fract_y
_atom_site_fract_z
Ac1 0.180 0.180 0.000
Ac2 0.820 0.820 0.000
Ce1 0.000 0.500 0.500
Ce2 0.500 0.000 0.500
Co1 0.000 0.000 0.000
Ge1 0.372 0.372 0.000
Ge2 0.628 0.628 0.000
```

- Size of the total moment: 0.00 μB per formula unit
- Final energy: -5.74 eV/atom
- ΔE_f: -536 meV per atom
- DOS at the Fermi energy: 4.9 states/eV/cell


Record 10
## RbLi2HfBr8 (PBE)

Data for an optimized crystal structure of RbLi2HfBr8.

Structure (CIF):
```
data_RbLi2HfBr8
_chemical_formula_sum 'Rb1 Li2 Hf1 Br8'
_symmetry_space_group_name_H-M 'P 1'
_symmetry_Int_Tables_number 1
_cell_length_a 6.035
_cell_length_b 6.731
_cell_length_c 9.492
_cell_angle_alpha 90.05
_cell_angle_beta 90.38
_cell_angle_gamma 90.46
loop_
_symmetry_equiv_pos_as_xyz
'x,y,z'
loop_
_atom_site_label
_atom_site_fract_x
_atom_site_fract_y
_atom_site_fract_z
Rb1 0.000 0.000 0.000
Li1 0.500 0.500 0.287
Li2 0.500 0.500 0.713
Hf1 0.000 0.000 0.500
Br1 0.243 0.840 0.304
Br2 0.245 0.841 0.697
Br3 0.250 0.325 0.500
Br4 0.254 0.482 0.001
Br5 0.746 0.518 0.999
Br6 0.750 0.675 0.500
Br7 0.755 0.159 0.303
Br8 0.757 0.160 0.696
```

- Size of the total moment: 0.21 μB per formula unit
- Final energy: -3.67 eV/atom
- Formation energy from raw total energies: -1.32 eV/atom
- DOS at the Fermi energy: 1.6 states/eV/cell


Record 11
## MoC (PBE)

Data for an optimized crystal structure of MoC.

Structure (CIF):
```
data_MoC
_chemical_formula_sum 'Mo4 C4'
_symmetry_space_group_name_H-M 'P 1'
_symmetry_Int_Tables_number 1
_cell_length_a 4.391
_cell_length_b 4.391
_cell_length_c 4.391
_cell_angle_alpha 90.00
_cell_angle_beta 90.00
_cell_angle_gamma 90.00
loop_
_symmetry_equiv_pos_as_xyz
'x,y,z'
loop_
_atom_site_label
_atom_site_fract_x
_atom_site_fract_y
_atom_site_fract_z
Mo1 0.113 0.113 0.113
Mo2 0.387 0.887 0.613
Mo3 0.613 0.387 0.887
Mo4 0.887 0.613 0.387
C1 0.095 0.595 0.905
C2 0.405 0.405 0.405
C3 0.595 0.905 0.095
C4 0.905 0.095 0.595
```

- Size of the total moment: 0.00 μB per formula unit
- Final energy: -9.32 eV/atom
- ΔE_f: 712 meV per atom
- Energy above the lowest structure with this stoichiometry: 1.61 eV/f.u.
- DOS at the Fermi energy: 2.1 states/eV/cell


Record 12
## ScTa2Hg (PBE)

Data for an optimized crystal structure of ScTa2Hg.

Structure (CIF):
```
data_ScTa2Hg
_chemical_formula_sum 'Sc1 Ta2 Hg1'
_symmetry_space_group_name_H-M 'P 1'
_symmetry_Int_Tables_number 1
_cell_length_a 5.823
_cell_length_b 5.823
_cell_length_c 5.823
_cell_angle_alpha 146.25
_cell_angle_beta 133.14
_cell_angle_gamma 58.98
loop_
_symmetry_equiv_pos_as_xyz
'x,y,z'
loop_
_atom_site_label
_atom_site_fract_x
_atom_site_fract_y
_atom_site_fract_z
Sc1 0.000 0.000 0.000
Ta1 0.258 0.758 0.500
Ta2 0.742 0.242 0.500
Hg1 0.500 0.500 0.000
```

- Size of the total moment: 0.00 μB per formula unit
- Final energy: -7.42 eV/atom
- ΔE_f: 165 meV per atom
- DOS at the Fermi energy: 4.1 states/eV/cell


> Which of these has the highest final energy?

Ba2Zn3Pd4


> Which of these has the highest final energy?

Ba2Zn3Pd4